Record 1
Density functional theory data (PBE) for an optimized crystal structure of Ce4DySe6.

Properties
Total DFT energy (no corrections) (eV per cell): -136.03
SG: No. 167
Calculated volume (Å³/atom): 26.35
Density (kg/m³): 6856
Uncorrected formation energy (eV/f.u.): -18.8

Cell: 8.3391 8.3391 8.3391 Å, 89.20 89.20 90.80°
Last column: nearest neighbours and their distance in Å.
Element x y z (fractional)
Ce 0.7500 0.7500 0.2500  6 Se 2.98
Ce 0.7500 0.3657 0.8657  8 Se 3.03-3.27
Ce 0.3657 0.1343 0.2500  8 Se 3.03-3.27
Ce 0.2500 0.6343 0.1343  8 Se 3.03-3.27
Ce 0.1343 0.7500 0.6343  8 Se 3.03-3.27
Ce 0.8657 0.2500 0.3657  8 Se 3.03-3.27
Ce 0.2500 0.2500 0.7500  6 Se 2.98
Ce 0.6343 0.8657 0.7500  8 Se 3.03-3.27
Se 0.9151 0.6815 0.9398  1 Dy 2.79, 2 Ce 2.98-3.03
Se 0.8185 0.5849 0.5602  1 Dy 2.79, 2 Ce 2.98-3.03
Se 0.0849 0.3185 0.0602  1 Dy 2.79, 2 Ce 2.98-3.03
Se 0.4151 0.5602 0.8185  1 Dy 2.79, 2 Ce 2.98-3.03
Se 0.3185 0.9398 0.9151  1 Dy 2.79, 2 Ce 2.98-3.03
Se 0.4398 0.8185 0.4151  1 Dy 2.79, 2 Ce 2.98-3.03
Se 0.9398 0.0849 0.6815  1 Dy 2.79, 2 Ce 2.98-3.03
Se 0.1815 0.4151 0.4398  1 Dy 2.79, 2 Ce 2.98-3.03
Se 0.6815 0.0602 0.0849  1 Dy 2.79, 2 Ce 2.98-3.03
Se 0.0602 0.9151 0.3185  1 Dy 2.79, 2 Ce 2.98-3.03
Se 0.5602 0.1815 0.5849  1 Dy 2.79, 2 Ce 2.98-3.03
Se 0.5849 0.4398 0.1815  1 Dy 2.79, 2 Ce 2.98-3.03
Dy 0.5000 0.5000 0.5000  6 Se 2.79
Dy 0.0000 0.0000 0.0000  6 Se 2.79

---

Record 2
Density functional theory data (PBE) for an optimized crystal structure of CeDy3Se4.

Properties
Total DFT energy (no corrections) (eV per cell): -95.71
SG: No. 13
Calculated volume (Å³/atom): 24.49
Density (kg/m³): 7995
Uncorrected formation energy (eV/f.u.): -14.2

Cell: 7.1094 7.1506 8.1670 Å, 90.00 90.00 109.27°
Last column: nearest neighbours and their distance in Å.
Element x y z (fractional)
Ce 0.7500 0.0000 0.8771  6 Se 2.94-2.96
Ce 0.2500 0.0000 0.1229  6 Se 2.94-2.96
Se 0.4996 0.7415 0.1289  4 Dy 2.85-2.89, 2 Ce 2.94-2.96
Se 0.5034 0.2527 0.3794  5 Dy 2.87-2.92, 1 Ce 2.96
Se 0.9966 0.7473 0.3794  5 Dy 2.87-2.92, 1 Ce 2.96
Se 0.0034 0.2527 0.6206  5 Dy 2.87-2.92, 1 Ce 2.96
Se 0.9996 0.7415 0.8711  4 Dy 2.85-2.89, 2 Ce 2.94-2.96
Se 0.4966 0.7473 0.6206  5 Dy 2.87-2.92, 1 Ce 2.96
Se 0.0004 0.2585 0.1289  4 Dy 2.85-2.89, 2 Ce 2.94-2.96
Se 0.5004 0.2585 0.8711  4 Dy 2.85-2.89, 2 Ce 2.94-2.96
Dy 0.2500 0.5000 0.3738  6 Se 2.85-2.91
Dy 0.2500 0.0000 0.6286  6 Se 2.89-2.92
Dy 0.7500 0.5000 0.1242  6 Se 2.86-2.92
Dy 0.7500 0.5000 0.6262  6 Se 2.85-2.91
Dy 0.7500 0.0000 0.3714  6 Se 2.89-2.92
Dy 0.2500 0.5000 0.8758  6 Se 2.86-2.92